First-principles (PBE-GGA) data for PaNiAgRh after structural relaxation, as listed in Alexandria via LeMat-Bulk.

a = 6.569 Å, b = 6.569 Å, c = 6.569 Å
α = 90.00°, β = 90.00°, γ = 90.00°
Space group F-43m (No. 216)
Unique sites:
Pa 0.000 0.000 0.000 (multiplicity 4)
Ni 0.250 0.250 0.750 (multiplicity 4)
Ag 0.000 0.000 0.500 (multiplicity 4)
Rh 0.250 0.250 0.250 (multiplicity 4)

D(E_F) = 1.07 states/eV/atom
Crystal system = cubic
E_tot = -6.623 eV/atom
M_tot = 0.00 μB per cell